Record 1
Density functional theory data (PBE) for a relaxed DyTiC crystal.

Cell: 3.5244 11.4874 6.7845 Å, 90.00 90.00 90.00°
Last column: nearest neighbours and their distance in Å.
Space group Amm2 (No. 38)
Symmetry-distinct sites (fractional):
Dy1 0.0000 0.0000 0.0000 x2  5 C 2.67-2.77
Dy2 0.0000 0.1992 0.3559 x4  4 C 2.53-2.78
Ti1 0.5000 0.0000 0.3781 x2  2 C 2.35, 2 Ti 2.62
Ti2 0.5000 0.1227 0.7029 x4  4 C 2.35-2.47, 1 Ti 2.62
C1 0.0000 0.0000 0.6068 x2  6 Ti 2.35
C2 0.5000 0.1849 0.0391 x4  2 Ti 2.39-2.47, 2 Dy 2.53

- offset from the most stable computed form (eV per atom) = 0.353
- ΔH_f (0 K) (eV/atom) = 0.0696
- theoretical density (Mg/m³) = 8.1
- electronic total energy (eV per atom) = -7.17
- DOS(E_F) (states/eV/atom) = 1.063

Record 2
Density functional theory data (PBE) for a relaxed RbBa3W crystal.

Cell: 6.1233 6.1233 6.1233 Å, 90.00 90.00 90.00°
Last column: nearest neighbours and their distance in Å.
Space group Pm-3m (No. 221)
Symmetry-distinct sites (fractional):
Rb1 0.0000 0.0000 0.0000 x1  6 Ba 3.06
Ba1 0.0000 0.0000 0.5000 x3  2 Rb 3.06
W1 0.5000 0.5000 0.5000 x1  12 Ba 4.33

- offset from the most stable computed form (eV per atom) = 1.283
- ΔH_f (0 K) (eV/atom) = 2.1310
- theoretical density (Mg/m³) = 4.9
- electronic total energy (eV per atom) = -1.81
- DOS(E_F) (states/eV/atom) = 2.958

Record 3
Density functional theory data (PBE) for a relaxed LaDy2Zn2In2 crystal.

Cell: 4.7555 4.7555 27.9392 Å, 90.00 90.00 120.00°
Last column: nearest neighbours and their distance in Å.
Space group R-3m (No. 166, hexagonal axes)
Symmetry-distinct sites (fractional):
La1 0.0000 0.0000 0.0000 x3  6 In 3.44, 6 Zn 3.55, 2 Dy 3.63
Dy1 0.0000 0.0000 0.1300 x6  3 Zn 3.08, 3 In 3.16, 3 Dy 3.42
Zn1 0.0000 0.0000 0.4137 x6  3 In 2.75, 3 Dy 3.08
In1 0.0000 0.0000 0.2592 x6  3 Zn 2.75

- ΔH_f (0 K) (eV/atom) = -0.3043
- theoretical density (Mg/m³) = 7.5
- electronic total energy (eV per atom) = -3.47
- DOS(E_F) (states/eV/atom) = 0.519